{"formula": "YTmCd6", "functional": "PBE", "state": "optimized geometry", "formation_enthalpy_0k_ev_per_atom": -0.284, "rho_g_cm3": 8.4, "total_energy_ev_per_atom": -2.32, "lattice_angstrom": [[-3.344, -3.373, 0.863], [1.696, -0.094, 6.200], [-3.340, 4.213, 3.524]], "species": ["Cd", "Cd", "Cd", "Cd", "Cd", "Cd", "Y", "Tm"], "frac_coords": [[0.000, 0.190, 0.619], [0.500, 0.323, 0.323], [0.000, 0.676, 0.676], [0.500, 0.812, 0.380], [0.000, 0.619, 0.190], [0.500, 0.380, 0.812], [0.500, 0.868, 0.868], [0.000, 0.133, 0.133]]}